(1)
PBE BC2, optimized geometry; energy of formation from the pure elements = 8.14 kcal/mol of atoms; energy relative to the lowest polymorph listed for this composition = 113.2 meV per atom
1.0
4.593 0.073 -0.930
-2.432 3.897 -0.930
-0.180 -0.331 4.579
C B
8 4
Direct
0.511 0.503 0.499
0.872 0.864 0.626
0.364 0.372 0.126
0.003 0.011 0.999
0.541 0.227 0.599
0.727 0.041 0.099
0.334 0.648 0.026
0.148 0.834 0.526
0.732 0.063 0.446
0.143 0.812 0.179
0.563 0.232 0.946
0.312 0.643 0.679

=====

(2)
PBE HfZn5Ni, optimized geometry; energy of formation from the pure elements = -4.34 kcal/mol of atoms
1.0
4.220 0.000 0.000
0.000 4.220 0.000
0.000 0.000 6.261
Zn Ni Hf
5 1 1
Direct
0.000 0.500 0.706
0.500 0.000 0.294
0.500 0.500 0.000
0.000 0.500 0.294
0.500 0.000 0.706
0.000 0.000 0.500
0.000 0.000 0.000

=====

(3)
PBE LiDyScPd, optimized geometry; energy of formation from the pure elements = -9.41 kcal/mol of atoms
1.0
-2.499 2.289 3.510
-1.563 -2.484 3.898
2.055 0.758 4.360
Sc Li Pd Dy
1 1 1 1
Direct
0.250 0.250 0.250
0.000 0.000 0.000
0.500 0.500 0.500
0.750 0.750 0.750

=====

(4)
PBE NaTl3Cd3, optimized geometry; energy of formation from the pure elements = -0.43 kcal/mol of atoms; energy relative to the lowest polymorph listed for this composition = 0.0 meV per atom
1.0
5.370 0.000 0.000
0.000 8.991 0.000
0.000 -4.495 7.786
Tl Cd Na
6 6 2
Direct
0.750 0.909 0.541
0.250 0.368 0.909
0.250 0.091 0.459
0.750 0.632 0.091
0.750 0.459 0.368
0.250 0.541 0.632
0.750 0.179 0.954
0.750 0.776 0.821
0.250 0.821 0.046
0.250 0.224 0.179
0.250 0.954 0.776
0.750 0.046 0.224
0.250 0.667 0.333
0.750 0.333 0.667

=====

(5)
PBE Zn3Se, optimized geometry; energy relative to the lowest polymorph listed for this composition = 37.8 meV per atom; formation energy (no corrections) = -0.129 eV per atom
1.0
-4.473 -1.611 0.814
3.203 0.148 3.604
-1.157 3.656 0.878
Zn Se
3 1
Direct
0.614 0.614 0.500
0.386 0.000 0.500
0.000 0.386 0.500
0.000 0.000 0.000

=====

(6)
PBE Zr2ScSn, optimized geometry; energy of formation from the pure elements = -4.25 kcal/mol of atoms
1.0
3.165 -0.003 -0.002
-0.008 6.220 1.256
-0.001 1.294 9.674
Zr Sn Sc
4 2 2
Direct
0.782 0.832 0.973
0.782 0.576 0.483
0.782 0.332 0.973
0.782 0.076 0.483
0.282 0.204 0.728
0.282 0.704 0.728
0.282 0.454 0.228
0.282 0.954 0.228

=====

(7)
PBE LiHf4S8, optimized geometry; formation energy (no corrections) = -1.580 eV per atom
1.0
-6.925 1.574 -1.319
-5.148 -4.851 1.462
-4.604 1.300 5.946
S Hf Li
8 4 1
Direct
0.756 0.756 0.233
0.745 0.244 0.767
0.244 0.244 0.767
0.244 0.745 0.767
0.756 0.255 0.233
0.255 0.756 0.233
0.257 0.257 0.229
0.743 0.743 0.771
0.000 0.500 0.000
0.000 0.000 0.000
0.500 0.000 0.000
0.500 0.500 0.000
0.500 0.500 0.500

=====

(8)
PBE Sc2Si3Rh, optimized geometry; formation energy (no corrections) = -0.808 eV per atom
1.0
3.808 0.000 1.595
1.673 4.783 1.350
-0.001 -0.011 5.346
Si Sc Rh
3 2 1
Direct
0.161 0.777 0.901
0.831 0.225 0.113
0.854 0.611 0.680
0.547 0.193 0.713
0.441 0.803 0.315
0.166 0.391 0.277

=====

Q: Number 2 is which compound?
A: HfZn5Ni

=====

Repeat the second record exactly.
PBE HfZn5Ni, optimized geometry; energy of formation from the pure elements = -4.34 kcal/mol of atoms
1.0
4.220 0.000 0.000
0.000 4.220 0.000
0.000 0.000 6.261
Zn Ni Hf
5 1 1
Direct
0.000 0.500 0.706
0.500 0.000 0.294
0.500 0.500 0.000
0.000 0.500 0.294
0.500 0.000 0.706
0.000 0.000 0.500
0.000 0.000 0.000